# 1
A plane-wave DFT calculation with PBE was carried out for crystalline Pm2Pr3Tl4 at its relaxed geometry.

Lattice parameters (Å, degrees): 5.4660 5.4656 10.7170 90.02 90.00 60.00
Fractional positions:
1 Pm 0.3330 0.3340 0.7813
2 Pm 0.6670 0.6660 0.2187
3 Pr 0.3336 0.3329 0.4215
4 Pr 0.0000 0.0000 0.0000
5 Pr 0.6664 0.6671 0.5785
6 Tl 0.6665 0.6671 0.8986
7 Tl 0.0003 0.9994 0.3461
8 Tl 0.9997 0.0006 0.6539
9 Tl 0.3335 0.3329 0.1014

Properties
Crystal system ... monoclinic
Energy relative to the lowest polymorph listed for this composition ... 0.0 kJ/mol of formula units
Space group ... No. 12
Calculated formation energy ... -0.32 eV per atom


# 2
A plane-wave DFT calculation with PBE was carried out for crystalline Sm3InAg4S8 at its relaxed geometry.

Lattice parameters (Å, degrees): 8.2631 11.8988 8.3148 132.26 119.79 90.00
Fractional positions:
1 Sm 0.5000 0.5000 0.0000
2 Sm 0.5000 0.5000 0.5000
3 Sm 0.0000 0.5000 0.5000
4 In 0.0000 0.5000 0.0000
5 Ag 0.5000 0.0000 0.0000
6 Ag 0.5000 0.0000 0.5000
7 Ag 0.0000 0.0000 0.0000
8 Ag 0.0000 0.0000 0.5000
9 S 0.2772 0.6868 0.0777
10 S 0.2801 0.6879 0.5603
11 S 0.2140 0.3113 0.4280
12 S 0.8004 0.6868 0.0777
13 S 0.1996 0.3132 0.9223
14 S 0.7860 0.6887 0.5720
15 S 0.7199 0.3121 0.4397
16 S 0.7228 0.3132 0.9223

Properties
Crystal system ... monoclinic
Space group ... No. 12
Uncorrected formation energy ... -1.028 eV/atom


# 3
A plane-wave DFT calculation with PBE was carried out for crystalline LiSeCl3 at its relaxed geometry.

Lattice parameters (Å, degrees): 5.1784 5.1784 5.1784 90.00 90.00 90.00
Fractional positions:
1 Li 0.5000 0.5000 0.5000
2 Se 0.0000 0.0000 0.0000
3 Cl 0.0000 0.5000 0.0000
4 Cl 0.0000 0.0000 0.5000
5 Cl 0.5000 0.0000 0.0000

Properties
Crystal system ... cubic
Energy relative to the lowest polymorph listed for this composition ... 138.4 kJ/mol of formula units
Space group ... No. 221
Uncorrected formation energy ... -0.497 eV/atom


Number 1: calculated density 9.2 g/cm3. Number 2: calculated density 4.6 g/cm3. Number 3: calculated density 2.3 g/cm3.